GdSnHg: relaxed, GGA-PBE.

Cell: 4.9455 4.9455 4.9455 Å, 60.00 60.00 60.00°
Closest atoms and distances in Å follow each position.
Element x y z (fractional)
Gd 0.5000 0.5000 0.5000  4 Hg 3.03
Hg 0.2500 0.2500 0.2500  4 Gd 3.03, 4 Sn 3.03
Sn 0.0000 0.0000 0.0000  4 Hg 3.03

Computed properties:
Its total energy is -6.52 eV per atom. As for the crystal system: cubic. As for the space group: F-43m. Its polymorph energy (0 for the lowest one) is 0.28 eV per formula unit.